No. 1
# Cs5K2H | Alexandria | PBE-GGA | optimized geometry
data_Cs5K2H
_chemical_formula_sum 'Cs10 K4 H2'
_cell_length_a 10.016
_cell_length_b 10.016
_cell_length_c 14.247
_cell_angle_alpha 90.00
_cell_angle_beta 90.00
_cell_angle_gamma 90.00
_symmetry_space_group_name_H-M 'I 4 m m'
_symmetry_Int_Tables_number 107
_symmetry_space_group_name_Hall 'I 4 -2'
loop_
_atom_site_label
_atom_site_type_symbol
_atom_site_fract_x
_atom_site_fract_y
_atom_site_fract_z
_atom_site_occupancy
Cs1 Cs 0.000 0.000 0.000 1
Cs2 Cs 0.225 0.225 0.248 1
K1 K 0.000 0.500 0.497 1
H1 H 0.000 0.000 0.214 1
# * electronic total energy: -0.0442 hartree per atom



No. 2
# Pr4Y3ErTe8 | Alexandria | PBE-GGA | optimized geometry
data_Pr4Y3ErTe8
_chemical_formula_sum 'Pr12 Y9 Er3 Te24'
_cell_length_a 8.7751
_cell_length_b 8.7751
_cell_length_c 22.3311
_cell_angle_alpha 90.00
_cell_angle_beta 90.00
_cell_angle_gamma 120.00
_symmetry_space_group_name_H-M 'R -3 m'
_symmetry_Int_Tables_number 166
_symmetry_space_group_name_Hall '-R 3 2"'
loop_
_atom_site_label
_atom_site_type_symbol
_atom_site_fract_x
_atom_site_fract_y
_atom_site_fract_z
_atom_site_occupancy
Pr1 Pr 0.0000 0.0000 0.0000 1
Pr2 Pr 0.0000 0.5000 0.0000 1
Y1 Y 0.0000 0.5000 0.5000 1
Er1 Er 0.0000 0.0000 0.5000 1
Te1 Te 0.0000 0.0000 0.2452 1
Te2 Te 0.0020 0.5010 0.2448 1
# * electronic total energy: -0.2069 hartree per atom
# * energy relative to the elements, uncorrected: -21.85 eV/f.u.



What did the first record say?
# Cs5K2H | Alexandria | PBE-GGA | optimized geometry
data_Cs5K2H
_chemical_formula_sum 'Cs10 K4 H2'
_cell_length_a 10.016
_cell_length_b 10.016
_cell_length_c 14.247
_cell_angle_alpha 90.00
_cell_angle_beta 90.00
_cell_angle_gamma 90.00
_symmetry_space_group_name_H-M 'I 4 m m'
_symmetry_Int_Tables_number 107
_symmetry_space_group_name_Hall 'I 4 -2'
loop_
_atom_site_label
_atom_site_type_symbol
_atom_site_fract_x
_atom_site_fract_y
_atom_site_fract_z
_atom_site_occupancy
Cs1 Cs 0.000 0.000 0.000 1
Cs2 Cs 0.225 0.225 0.248 1
K1 K 0.000 0.500 0.497 1
H1 H 0.000 0.000 0.214 1
# * electronic total energy: -0.0442 hartree per atom